LuUPt2 | PBE-GGA | optimized geometry

Results
The value obtained for the formation energy is -878 meV/atom. The spin magnetization comes out at 2.67 Bohr magnetons per cell. The symmetry is P4/mmm (123). The calculated density comes out at 16.15 g cm⁻³. The total energy comes out at -0.5770 Ry/atom.

a = 3.2611 Å, b = 5.0330 Å, c = 5.0330 Å
α = 90.00°, β = 90.00°, γ = 90.00°
Positions (direct):
Pt: 0.0000 0.0000 0.5000
Lu: 0.5000 0.0000 0.0000
U: 0.5000 0.5000 0.5000
Pt: 0.0000 0.5000 0.0000